i:
! LiLaRh (GGA-PBE, optimized geometry); values from VASP
&SYSTEM
  ibrav = 0, nat = 3, ntyp = 3
/
ATOMIC_SPECIES
Li 6.94 Li.upf
La 138.91 La.upf
Rh 102.91 Rh.upf
CELL_PARAMETERS angstrom
5.1376 -1.8150 0.0000
5.1376 1.8150 0.0000
-1.2800 0.0000 3.3965
ATOMIC_POSITIONS crystal
Li 0.0000 0.0000 0.0000
La 0.2909 0.2909 0.2918
Rh 0.6402 0.6402 0.6395
! * total moment: 0.0 μB/f.u.
! * DOS at the Fermi energy: 0.96 states/eV per atom
! * crystal system: monoclinic
! * SG: Cm

---

ii:
! LiLaRh (GGA-PBE, optimized geometry); values from VASP
&SYSTEM
  ibrav = 0, nat = 3, ntyp = 3
/
ATOMIC_SPECIES
Li 6.94 Li.upf
La 138.91 La.upf
Rh 102.91 Rh.upf
CELL_PARAMETERS angstrom
0.0000 3.3011 3.3011
3.3011 0.0000 3.3011
3.3011 3.3011 0.0000
ATOMIC_POSITIONS crystal
Li 0.0000 0.0000 0.0000
La 0.5000 0.5000 0.5000
Rh 0.2500 0.2500 0.2500
! * total moment: 0.1 μB/f.u.
! * DOS at the Fermi energy: 1.35 states/eV per atom
! * crystal system: cubic
! * SG: F-43m

---

The most stable structure shown above is ii; the least stable is i.